# LaCrO3 (PBE with a Hubbard U, optimized geometry)
# magnetization = 10.44 μB/cell
# E = -155.04 eV per cell
# calculated volume = 13.50 Å³ per atom
# crystal system = cubic
data_LaCrO3
_chemical_formula_sum 'La4 Cr4 O12'
_symmetry_space_group_name_H-M 'P 1'
_symmetry_Int_Tables_number 1
_cell_length_a 7.255
_cell_length_b 7.255
_cell_length_c 7.255
_cell_angle_alpha 60.00
_cell_angle_beta 60.00
_cell_angle_gamma 60.00
loop_
_symmetry_equiv_pos_as_xyz
'x,y,z'
loop_
_atom_site_label
_atom_site_type_symbol
_atom_site_fract_x
_atom_site_fract_y
_atom_site_fract_z
O1 O 0.211 0.789 0.789
O2 O 0.039 0.461 0.461
O3 O 0.789 0.789 0.211
O4 O 0.039 0.461 0.039
O5 O 0.789 0.211 0.789
O6 O 0.211 0.789 0.211
O7 O 0.789 0.211 0.211
O8 O 0.461 0.461 0.039
O9 O 0.039 0.039 0.461
O10 O 0.211 0.211 0.789
O11 O 0.461 0.039 0.461
O12 O 0.461 0.039 0.039
La1 La 0.625 0.625 0.625
La2 La 0.125 0.625 0.625
La3 La 0.625 0.125 0.625
La4 La 0.625 0.625 0.125
Cr1 Cr 0.125 0.125 0.125
Cr2 Cr 0.625 0.125 0.125
Cr3 Cr 0.125 0.625 0.125
Cr4 Cr 0.125 0.125 0.625